## SrNpCr2O8 (PBE+U)

Data for a relaxed SrNpCr2O8 crystal.

SG: I-4m2, No. 119
Raw total energy, eV/atom: -7.843
DOS(E_F), states/eV per cell: 6.1

Cell: 6.0654 6.0654 6.0654 Å, 106.53 106.53 115.52°
With the nearest neighbours (Å) after each atom.
Fractional positions:
1 O 0.3356 0.1333 0.7976  1 Cr 1.81
2 O 0.9280 0.2550 0.3270  1 Cr 1.70
3 O 0.3991 0.0720 0.3270  1 Cr 1.70
4 O 0.3356 0.5380 0.2024  1 Cr 1.81
5 O 0.9280 0.6009 0.6730  1 Cr 1.70
6 O 0.4620 0.6644 0.7976  1 Cr 1.81
7 O 0.8667 0.6644 0.2024  1 Cr 1.81
8 O 0.7450 0.0720 0.6730  1 Cr 1.70
9 Np 0.2500 0.7500 0.5000  8 O 2.23-2.43
10 Cr 0.7500 0.2500 0.5000  4 O 1.70
11 Cr 0.5000 0.5000 0.0000  4 O 1.81
12 Sr 0.0000 0.0000 0.0000  8 O 2.42-2.62